Computed, not measured: an optimized crystal structure of Ce2PmBi2 at the PBE-GGA level of DFT.

Cell and atoms, written as CIF:
```
data_Ce2PmBi2
_cell_length_a 8.724
_cell_length_b 8.724
_cell_length_c 4.079
_cell_angle_alpha 90.00
_cell_angle_beta 90.00
_cell_angle_gamma 90.00
_symmetry_space_group_name_H-M 'P 4/m b m'
_symmetry_Int_Tables_number 127
_symmetry_space_group_name_Hall '-P 4 2ab'
loop_
_atom_site_label
_atom_site_type_symbol
_atom_site_fract_x
_atom_site_fract_y
_atom_site_fract_z
Ce1 Ce 0.107 0.393 0.000
Pm1 Pm 0.000 0.000 0.000
Bi1 Bi 0.188 0.688 0.500
```

- energy of formation (meV/atom) = -471
- VASP energy (eV/atom) = -5.347
- total moment (μB/atom) = 0.53

Computed, not measured: an optimized crystal structure of Ce3Pm2Bi3 at the PBE-GGA level of DFT.

Cell and atoms, written as CIF:
```
data_Ce3Pm2Bi3
_cell_length_a 9.4702
_cell_length_b 9.4702
_cell_length_c 6.5866
_cell_angle_alpha 90.00
_cell_angle_beta 90.00
_cell_angle_gamma 120.00
_symmetry_space_group_name_H-M 'P 63/m c m'
_symmetry_Int_Tables_number 193
_symmetry_space_group_name_Hall '-P 6c 2'
loop_
_atom_site_label
_atom_site_type_symbol
_atom_site_fract_x
_atom_site_fract_y
_atom_site_fract_z
Ce1 Ce 0.0000 0.2453 0.2500
Pm1 Pm 0.3333 0.6667 0.0000
Bi1 Bi 0.0000 0.3897 0.7500
```

- energy of formation (meV/atom) = -616
- VASP energy (eV/atom) = -5.484
- total moment (μB/atom) = 0.49

Computed, not measured: an optimized crystal structure of CePm3Bi4 at the PBE-GGA level of DFT.

Cell and atoms, written as CIF:
```
data_CePm3Bi4
_cell_length_a 9.176
_cell_length_b 12.957
_cell_length_c 4.581
_cell_angle_alpha 90.00
_cell_angle_beta 90.00
_cell_angle_gamma 90.00
_symmetry_space_group_name_H-M 'C m m m'
_symmetry_Int_Tables_number 65
_symmetry_space_group_name_Hall '-C 2 2'
loop_
_atom_site_label
_atom_site_type_symbol
_atom_site_fract_x
_atom_site_fract_y
_atom_site_fract_z
Ce1 Ce 0.000 0.000 0.000
Pm1 Pm 0.000 0.500 0.000
Pm2 Pm 0.250 0.250 0.500
Bi1 Bi 0.000 0.249 0.000
Bi2 Bi 0.250 0.000 0.500
```

- energy of formation (meV/atom) = -905
- VASP energy (eV/atom) = -5.369
- total moment (μB/atom) = 0.10